(1)
Computed, not measured: a relaxed structure of KTeO2 at the PBE level of DFT.

Its crystal system is tetragonal. As for the formation energy from raw total energies: -864 meV per atom.

The space group is I-42d (No. 122) and the conventional cell measures 5.4136, 5.4136 and 12.0498 Å, with angles of 90.00, 90.00 and 90.00 degrees. The inequivalent atoms are K at (0.0000, 0.0000, 0.0000), Te at (0.0000, 0.0000, 0.5000) and O at (0.1511, 0.2500, 0.6250).


(2)
Computed, not measured: a relaxed structure of PrEr2Ga at the PBE level of DFT.

Its crystal system is trigonal. As for the formation energy: -0.193 eV/atom. The offset from the most stable computed form comes out at 97 meV/atom.

The space group is R3m (No. 160, hexagonal axes) and the conventional cell measures 3.6069, 3.6069 and 30.8967 Å, with angles of 90.00, 90.00 and 120.00 degrees. The inequivalent atoms are Pr at (0.0000, 0.0000, 0.0000), Er at (0.0000, 0.0000, 0.2362), Er at (0.0000, 0.0000, 0.4313) and Ga at (0.0000, 0.0000, 0.8341).